Record 1
This record from Alexandria describes a geometry-optimized RbFeMo3 structure. The functional is GGA-PBE.

Geometry as extended XYZ:
```
5
Lattice="4.6048 0.0000 0.0000 0.0000 4.6048 0.0000 0.0000 0.0000 4.6048" Properties=species:S:1:pos:R:3 pbc="T T T"
Rb 0.0000 0.0000 0.0000
Fe 2.3024 2.3024 2.3024
Mo 0.0000 0.0000 2.3024
Mo 0.0000 2.3024 0.0000
Mo 2.3024 0.0000 0.0000
```

## Properties
calculated formation energy = 3639 meV/atom
energy = -4.746 eV per atom
space group = Pm-3m, No. 221

=====

Record 2
This record from Alexandria describes a geometry-optimized RbFeMo2 structure. The functional is GGA-PBE.

Geometry as extended XYZ:
```
4
Lattice="0.0000 3.2066 3.2066 3.2066 0.0000 3.2066 3.2066 3.2066 0.0000" Properties=species:S:1:pos:R:3 pbc="T T T"
Rb 0.0000 0.0000 0.0000
Fe 3.2066 3.2066 3.2066
Mo 1.6033 1.6033 1.6033
Mo 4.8099 4.8099 4.8099
```

## Properties
calculated formation energy = 1904 meV/atom
energy = -5.869 eV per atom
space group = Fm-3m, No. 225

=====

Record 3
This record from Alexandria describes a geometry-optimized RbFeMo3 structure. The functional is GGA-PBE.

Geometry as extended XYZ:
```
5
Lattice="4.6811 0.0000 0.0000 0.0000 4.6811 0.0000 0.0000 0.0000 4.6811" Properties=species:S:1:pos:R:3 pbc="T T T"
Rb 0.0000 0.0000 0.0000
Fe 2.3405 2.3405 2.3405
Mo 0.0000 2.3405 2.3405
Mo 2.3405 0.0000 2.3405
Mo 2.3405 2.3405 0.0000
```

## Properties
calculated formation energy = 1725 meV/atom
energy = -6.660 eV per atom
space group = Pm-3m, No. 221

=====

Record 4
This record from Alexandria describes a geometry-optimized RbFe2Mo structure. The functional is GGA-PBE.

Geometry as extended XYZ:
```
4
Lattice="0.0000 3.1894 3.1894 3.1894 0.0000 3.1894 3.1894 3.1894 0.0000" Properties=species:S:1:pos:R:3 pbc="T T T"
Rb 0.0000 0.0000 0.0000
Fe 1.5947 1.5947 1.5947
Fe 4.7841 4.7841 4.7841
Mo 3.1894 3.1894 3.1894
```

## Properties
calculated formation energy = 1894 meV/atom
energy = -5.287 eV per atom
space group = Fm-3m, No. 225

=====

Record 5
This record from Alexandria describes a geometry-optimized RbFe2Mo structure. The functional is GGA-PBE.

Geometry as extended XYZ:
```
8
Lattice="-3.5601 3.5601 3.2589 3.5601 -3.5601 3.2589 3.5601 3.5601 -3.2589" Properties=species:S:1:pos:R:3 pbc="T T T"
Rb 0.0000 0.0000 0.0000
Rb 0.0000 3.5601 1.6295
Fe 1.7801 -1.2172 2.4442
Fe 2.3430 1.7801 0.8147
Fe 1.7801 4.7773 -0.8147
Fe 1.2172 1.7801 4.0736
Mo 3.5601 0.0000 1.6295
Mo 0.0000 0.0000 3.2589
```

## Properties
calculated formation energy = 1696 meV/atom
energy = -5.485 eV per atom
space group = I-42d, No. 122

=====

Record 6
This record from Alexandria describes a geometry-optimized RbTlFe2Mo structure. The functional is GGA-PBE.

Geometry as extended XYZ:
```
5
Lattice="4.5047 0.0000 0.0000 0.0000 4.5047 0.0000 0.0000 0.0000 5.0197" Properties=species:S:1:pos:R:3 pbc="T T T"
Rb 0.0000 0.0000 0.0000
Tl 2.2524 2.2524 2.5098
Fe 0.0000 2.2524 0.0000
Fe 2.2524 0.0000 0.0000
Mo 0.0000 0.0000 2.5098
```

## Properties
calculated formation energy = 2962 meV/atom
energy = -3.256 eV per atom
space group = P4/mmm, No. 123

=====

Record 7
This record from Alexandria describes a geometry-optimized RbFe2MoW structure. The functional is GGA-PBE.

Geometry as extended XYZ:
```
5
Lattice="4.2566 0.0000 0.0000 0.0000 4.2566 0.0000 0.0000 0.0000 4.7784" Properties=species:S:1:pos:R:3 pbc="T T T"
Rb 0.0000 0.0000 0.0000
Fe 0.0000 2.1283 0.0000
Fe 2.1283 0.0000 0.0000
Mo 2.1283 2.1283 2.3892
W 0.0000 0.0000 2.3892
```

## Properties
calculated formation energy = 3336 meV/atom
energy = -4.999 eV per atom
space group = P4/mmm, No. 123

=====

Record 8
This record from Alexandria describes a geometry-optimized FeRe2Mo structure. The functional is GGA-PBE.

Geometry as extended XYZ:
```
4
Lattice="2.6550 0.0000 0.0000 0.0000 4.3398 0.0000 -0.9984 0.0000 5.0677" Properties=species:S:1:pos:R:3 pbc="T T T"
Fe 0.0000 0.0000 0.0000
Re -0.1164 2.1699 3.7990
Re 0.8428 0.0000 2.5588
Mo 1.7547 2.1699 1.2028
```

## Properties
calculated formation energy = 130 meV/atom
energy = -10.917 eV per atom
space group = Pm, No. 6